[1]
# AlCoCu2 PBE-GGA optimized geometry
# Crystal system: monoclinic
data_AlCoCu2
_symmetry_space_group_name_H-M 'P 1 2/m 1'
_symmetry_Int_Tables_number 10
_cell_length_a 2.598
_cell_length_b 4.300
_cell_length_c 4.397
_cell_angle_alpha 90.00
_cell_angle_beta 94.54
_cell_angle_gamma 90.00
loop_
_symmetry_equiv_pos_as_xyz
'x,y,z'
'-x,-y,-z'
'-x,y,-z'
'x,-y,z'
loop_
_atom_site_label
_atom_site_type_symbol
_atom_site_fract_x
_atom_site_fract_y
_atom_site_fract_z
Al1 Al 0.000 0.000 0.000
Co1 Co 0.500 0.000 0.500
Cu1 Cu 0.248 0.500 0.745

=====

[2]
# Na4Sn2I9 PBE-GGA optimized geometry
# Crystal system: triclinic
# E_form (uncorrected) (eV per atom): -0.840
data_Na4Sn2I9
_symmetry_space_group_name_H-M 'P -1'
_symmetry_Int_Tables_number 2
_cell_length_a 8.012
_cell_length_b 8.013
_cell_length_c 21.797
_cell_angle_alpha 89.98
_cell_angle_beta 89.99
_cell_angle_gamma 60.01
loop_
_symmetry_equiv_pos_as_xyz
'x,y,z'
'-x,-y,-z'
loop_
_atom_site_label
_atom_site_type_symbol
_atom_site_fract_x
_atom_site_fract_y
_atom_site_fract_z
Na1 Na 0.167 0.166 0.325
Na2 Na 0.167 0.167 0.015
Na3 Na 0.167 0.167 0.515
Na4 Na 0.167 0.167 0.825
Sn1 Sn 0.500 0.500 0.156
Sn2 Sn 0.500 0.500 0.344
I1 I 0.160 0.523 0.585
I2 I 0.160 0.818 0.085
I3 I 0.182 0.478 0.915
I4 I 0.182 0.840 0.415
I5 I 0.191 0.500 0.250
I6 I 0.191 0.809 0.750
I7 I 0.478 0.182 0.415
I8 I 0.478 0.841 0.915
I9 I 0.500 0.191 0.750

=====

[3]
# LaNd2DyY6 PBE-GGA optimized geometry
# Crystal system: monoclinic
data_LaNd2DyY6
_symmetry_space_group_name_H-M 'C 1 2/c 1'
_symmetry_Int_Tables_number 15
_cell_length_a 9.167
_cell_length_b 15.152
_cell_length_c 9.801
_cell_angle_alpha 90.00
_cell_angle_beta 98.59
_cell_angle_gamma 90.00
loop_
_symmetry_equiv_pos_as_xyz
'x,y,z'
'-x,-y,-z'
'-x,y,-z+1/2'
'x,-y,z+1/2'
'x+1/2,y+1/2,z'
'-x+1/2,-y+1/2,-z'
'-x+1/2,y+1/2,-z+1/2'
'x+1/2,-y+1/2,z+1/2'
loop_
_atom_site_label
_atom_site_type_symbol
_atom_site_fract_x
_atom_site_fract_y
_atom_site_fract_z
La1 La 0.000 0.020 0.250
Nd1 Nd 0.244 0.050 0.546
Dy1 Dy 0.000 0.408 0.750
Y1 Y 0.069 0.190 0.942
Y2 Y 0.096 0.394 0.116
Y3 Y 0.207 0.225 0.316

=====

[4]
# AlPt2W PBE-GGA optimized geometry
# Crystal system: tetragonal
data_AlPt2W
_symmetry_space_group_name_H-M 'P 4/m m m'
_symmetry_Int_Tables_number 123
_symmetry_space_group_name_Hall '-P 4 2'
_cell_length_a 2.797
_cell_length_b 2.797
_cell_length_c 7.717
_cell_angle_alpha 90.00
_cell_angle_beta 90.00
_cell_angle_gamma 90.00
loop_
_atom_site_label
_atom_site_type_symbol
_atom_site_fract_x
_atom_site_fract_y
_atom_site_fract_z
Al1 Al 0.000 0.000 0.000
Pt1 Pt 0.500 0.500 0.237
W1 W 0.000 0.000 0.500

=====

[5]
# Sr3PuPt8 PBE-GGA optimized geometry
# Crystal system: trigonal
data_Sr3PuPt8
_symmetry_space_group_name_H-M 'R 3 m'
_symmetry_Int_Tables_number 160
_symmetry_space_group_name_Hall 'R 3 -2"'
_cell_length_a 5.5468
_cell_length_b 5.5468
_cell_length_c 27.1155
_cell_angle_alpha 90.00
_cell_angle_beta 90.00
_cell_angle_gamma 120.00
loop_
_atom_site_label
_atom_site_type_symbol
_atom_site_fract_x
_atom_site_fract_y
_atom_site_fract_z
Sr1 Sr 0.0000 0.0000 0.0000
Sr2 Sr 0.0000 0.0000 0.1245
Sr3 Sr 0.0000 0.0000 0.6262
Pu1 Pu 0.0000 0.0000 0.5013
Pt1 Pt 0.0000 0.0000 0.3129
Pt2 Pt 0.0000 0.0000 0.8130
Pt3 Pt 0.0030 0.5015 0.0645
Pt4 Pt 0.1678 0.3356 0.8946

=====

[6]
# Mg3PdRh PBE-GGA optimized geometry
# Crystal system: cubic
# Energy above the most stable polymorph in this dataset (kJ/mol of atoms): 59.9
data_Mg3PdRh
_symmetry_space_group_name_H-M 'P m -3 m'
_symmetry_Int_Tables_number 221
_symmetry_space_group_name_Hall '-P 4 2 3'
_cell_length_a 4.805
_cell_length_b 4.805
_cell_length_c 4.805
_cell_angle_alpha 90.00
_cell_angle_beta 90.00
_cell_angle_gamma 90.00
loop_
_atom_site_label
_atom_site_type_symbol
_atom_site_fract_x
_atom_site_fract_y
_atom_site_fract_z
Mg1 Mg 0.000 0.000 0.500
Pd1 Pd 0.500 0.500 0.500
Rh1 Rh 0.000 0.000 0.000

=====

[7]
# PrSc2Tl PBE-GGA optimized geometry
# Crystal system: trigonal
# Energy above the most stable polymorph in this dataset (kJ/mol of atoms): 14.9
data_PrSc2Tl
_symmetry_space_group_name_H-M 'R 3 m'
_symmetry_Int_Tables_number 160
_symmetry_space_group_name_Hall 'R 3 -2"'
_cell_length_a 4.9304
_cell_length_b 4.9304
_cell_length_c 16.6040
_cell_angle_alpha 90.00
_cell_angle_beta 90.00
_cell_angle_gamma 120.00
loop_
_atom_site_label
_atom_site_type_symbol
_atom_site_fract_x
_atom_site_fract_y
_atom_site_fract_z
Pr1 Pr 0.0000 0.0000 0.0000
Sc1 Sc 0.0000 0.0000 0.5482
Sc2 Sc 0.0000 0.0000 0.7857
Tl1 Tl 0.0000 0.0000 0.2091

=====

[8]
# YCoSe PBE-GGA optimized geometry
# Crystal system: orthorhombic
# E_form (uncorrected) (eV per atom): -0.401
data_YCoSe
_symmetry_space_group_name_H-M 'F m m 2'
_symmetry_Int_Tables_number 42
_symmetry_space_group_name_Hall 'F 2 -2'
_cell_length_a 4.646
_cell_length_b 5.004
_cell_length_c 9.878
_cell_angle_alpha 90.00
_cell_angle_beta 90.00
_cell_angle_gamma 90.00
loop_
_atom_site_label
_atom_site_type_symbol
_atom_site_fract_x
_atom_site_fract_y
_atom_site_fract_z
Y1 Y 0.000 0.000 0.000
Co1 Co 0.000 0.000 0.317
Se1 Se 0.000 0.000 0.701

=====

[9]
# Na2Ca2Sc PBE-GGA optimized geometry
# Crystal system: tetragonal
# Energy above the most stable polymorph in this dataset (kJ/mol of atoms): 3.3
data_Na2Ca2Sc
_symmetry_space_group_name_H-M 'P 4/m b m'
_symmetry_Int_Tables_number 127
_symmetry_space_group_name_Hall '-P 4 2ab'
_cell_length_a 9.225
_cell_length_b 9.225
_cell_length_c 4.056
_cell_angle_alpha 90.00
_cell_angle_beta 90.00
_cell_angle_gamma 90.00
loop_
_atom_site_label
_atom_site_type_symbol
_atom_site_fract_x
_atom_site_fract_y
_atom_site_fract_z
Na1 Na 0.120 0.380 0.000
Ca1 Ca 0.185 0.685 0.500
Sc1 Sc 0.000 0.000 0.000

=====

[10]
# PrSm4Y4 PBE-GGA optimized geometry
# Crystal system: triclinic
data_PrSm4Y4
_symmetry_space_group_name_H-M 'P -1'
_symmetry_Int_Tables_number 2
_cell_length_a 5.117
_cell_length_b 10.827
_cell_length_c 11.416
_cell_angle_alpha 71.50
_cell_angle_beta 89.96
_cell_angle_gamma 89.88
loop_
_symmetry_equiv_pos_as_xyz
'x,y,z'
'-x,-y,-z'
loop_
_atom_site_label
_atom_site_type_symbol
_atom_site_fract_x
_atom_site_fract_y
_atom_site_fract_z
Pr1 Pr 0.250 0.222 0.083
Sm1 Sm 0.250 0.001 0.749
Sm2 Sm 0.250 0.111 0.418
Sm3 Sm 0.250 0.335 0.748
Sm4 Sm 0.250 0.555 0.085
Y1 Y 0.250 0.444 0.418
Y2 Y 0.250 0.666 0.749
Y3 Y 0.250 0.777 0.417
Y4 Y 0.250 0.888 0.085

=====

[11]
# Na2ZnIn PBE-GGA optimized geometry
# Crystal system: trigonal
data_Na2ZnIn
_symmetry_space_group_name_H-M 'R 3 m'
_symmetry_Int_Tables_number 160
_symmetry_space_group_name_Hall 'R 3 -2"'
_cell_length_a 3.3973
_cell_length_b 3.3973
_cell_length_c 31.2338
_cell_angle_alpha 90.00
_cell_angle_beta 90.00
_cell_angle_gamma 120.00
loop_
_atom_site_label
_atom_site_type_symbol
_atom_site_fract_x
_atom_site_fract_y
_atom_site_fract_z
Na1 Na 0.0000 0.0000 0.0000
Na2 Na 0.0000 0.0000 0.1768
Zn1 Zn 0.0000 0.0000 0.5883
In1 In 0.0000 0.0000 0.4218

=====

[12]
# Nd2ThTl PBE-GGA optimized geometry
# Crystal system: tetragonal
# Energy above the most stable polymorph in this dataset (kJ/mol of atoms): 0.0
data_Nd2ThTl
_symmetry_space_group_name_H-M 'P 4/m m m'
_symmetry_Int_Tables_number 123
_symmetry_space_group_name_Hall '-P 4 2'
_cell_length_a 3.674
_cell_length_b 3.674
_cell_length_c 9.312
_cell_angle_alpha 90.00
_cell_angle_beta 90.00
_cell_angle_gamma 90.00
loop_
_atom_site_label
_atom_site_type_symbol
_atom_site_fract_x
_atom_site_fract_y
_atom_site_fract_z
Nd1 Nd 0.000 0.000 0.237
Th1 Th 0.500 0.500 0.500
Tl1 Tl 0.500 0.500 0.000

=====

[13]
# Cr4InAgSe8 PBE-GGA optimized geometry
# Crystal system: cubic
# E_form (uncorrected) (eV per atom): -0.514
data_Cr4InAgSe8
_symmetry_space_group_name_H-M 'F -4 3 m'
_symmetry_Int_Tables_number 216
_symmetry_space_group_name_Hall 'F -4 2 3'
_cell_length_a 10.835
_cell_length_b 10.835
_cell_length_c 10.835
_cell_angle_alpha 90.00
_cell_angle_beta 90.00
_cell_angle_gamma 90.00
loop_
_atom_site_label
_atom_site_type_symbol
_atom_site_fract_x
_atom_site_fract_y
_atom_site_fract_z
Cr1 Cr 0.121 0.121 0.121
In1 In 0.000 0.000 0.500
Ag1 Ag 0.250 0.250 0.750
Se1 Se 0.111 0.111 0.889
Se2 Se 0.140 0.140 0.360

=====

[14]
# Zn2AgAu PBE-GGA optimized geometry
# Crystal system: tetragonal
# Energy above the most stable polymorph in this dataset (kJ/mol of atoms): 19.1
data_Zn2AgAu
_symmetry_space_group_name_H-M 'I -4 2 d'
_symmetry_Int_Tables_number 122
_symmetry_space_group_name_Hall 'I -4 2bw'
_cell_length_a 4.006
_cell_length_b 4.006
_cell_length_c 18.355
_cell_angle_alpha 90.00
_cell_angle_beta 90.00
_cell_angle_gamma 90.00
loop_
_atom_site_label
_atom_site_type_symbol
_atom_site_fract_x
_atom_site_fract_y
_atom_site_fract_z
Zn1 Zn 0.240 0.250 0.125
Ag1 Ag 0.000 0.000 0.500
Au1 Au 0.000 0.000 0.000

=====

[15]
# MnZnBiPt2 PBE-GGA optimized geometry
# Crystal system: tetragonal
data_MnZnBiPt2
_symmetry_space_group_name_H-M 'P 4/m m m'
_symmetry_Int_Tables_number 123
_symmetry_space_group_name_Hall '-P 4 2'
_cell_length_a 4.696
_cell_length_b 4.696
_cell_length_c 5.092
_cell_angle_alpha 90.00
_cell_angle_beta 90.00
_cell_angle_gamma 90.00
loop_
_atom_site_label
_atom_site_type_symbol
_atom_site_fract_x
_atom_site_fract_y
_atom_site_fract_z
Mn1 Mn 0.000 0.000 0.000
Zn1 Zn 0.500 0.500 0.500
Bi1 Bi 0.500 0.500 0.000
Pt1 Pt 0.000 0.500 0.500

=====

[16]
# LiSiHPb2 PBE-GGA optimized geometry
# Crystal system: tetragonal
data_LiSiHPb2
_symmetry_space_group_name_H-M 'P 4/m m m'
_symmetry_Int_Tables_number 123
_symmetry_space_group_name_Hall '-P 4 2'
_cell_length_a 5.440
_cell_length_b 5.440
_cell_length_c 4.816
_cell_angle_alpha 90.00
_cell_angle_beta 90.00
_cell_angle_gamma 90.00
loop_
_atom_site_label
_atom_site_type_symbol
_atom_site_fract_x
_atom_site_fract_y
_atom_site_fract_z
Li1 Li 0.000 0.000 0.000
Si1 Si 0.000 0.000 0.500
H1 H 0.500 0.500 0.000
Pb1 Pb 0.000 0.500 0.500

=====

[17]
# Ac5Pm2Pb5 PBE-GGA optimized geometry
# Crystal system: monoclinic
data_Ac5Pm2Pb5
_symmetry_space_group_name_H-M 'C 1 2/m 1'
_symmetry_Int_Tables_number 12
_cell_length_a 15.891
_cell_length_b 4.763
_cell_length_c 13.678
_cell_angle_alpha 90.00
_cell_angle_beta 110.47
_cell_angle_gamma 90.00
loop_
_symmetry_equiv_pos_as_xyz
'x,y,z'
'-x,-y,-z'
'-x,y,-z'
'x,-y,z'
'x+1/2,y+1/2,z'
'-x+1/2,-y+1/2,-z'
'-x+1/2,y+1/2,-z'
'x+1/2,-y+1/2,z'
loop_
_atom_site_label
_atom_site_type_symbol
_atom_site_fract_x
_atom_site_fract_y
_atom_site_fract_z
Ac1 Ac 0.000 0.000 0.000
Ac2 Ac 0.162 0.000 0.542
Ac3 Ac 0.231 0.000 0.848
Pm1 Pm 0.050 0.500 0.292
Pb1 Pb 0.000 0.500 0.500
Pb2 Pb 0.112 0.500 0.917
Pb3 Pb 0.185 0.000 0.288

=====

[18]
# Rh5Pb3 PBE-GGA optimized geometry
# Crystal system: orthorhombic
# Energy above the most stable polymorph in this dataset (kJ/mol of atoms): 0.0
data_Rh5Pb3
_symmetry_space_group_name_H-M 'C m m m'
_symmetry_Int_Tables_number 65
_symmetry_space_group_name_Hall '-C 2 2'
_cell_length_a 7.573
_cell_length_b 8.710
_cell_length_c 4.279
_cell_angle_alpha 90.00
_cell_angle_beta 90.00
_cell_angle_gamma 90.00
loop_
_atom_site_label
_atom_site_type_symbol
_atom_site_fract_x
_atom_site_fract_y
_atom_site_fract_z
Rh1 Rh 0.000 0.000 0.000
Rh2 Rh 0.220 0.500 0.500
Rh3 Rh 0.250 0.250 0.000
Pb1 Pb 0.000 0.209 0.500
Pb2 Pb 0.000 0.500 0.000

=====

[19]
# MgAg8Au5 PBE-GGA optimized geometry
# Crystal system: tetragonal
data_MgAg8Au5
_symmetry_space_group_name_H-M 'I -4'
_symmetry_Int_Tables_number 82
_cell_length_a 7.929
_cell_length_b 7.929
_cell_length_c 8.581
_cell_angle_alpha 90.00
_cell_angle_beta 90.00
_cell_angle_gamma 90.00
loop_
_symmetry_equiv_pos_as_xyz
'x,y,z'
'y,-x,-z'
'-x,-y,z'
'-y,x,-z'
'x+1/2,y+1/2,z+1/2'
'y+1/2,-x+1/2,-z+1/2'
'-x+1/2,-y+1/2,z+1/2'
'-y+1/2,x+1/2,-z+1/2'
loop_
_atom_site_label
_atom_site_type_symbol
_atom_site_fract_x
_atom_site_fract_y
_atom_site_fract_z
Mg1 Mg 0.000 0.000 0.000
Ag1 Ag 0.068 0.834 0.655
Ag2 Ag 0.101 0.676 0.007
Au1 Au 0.000 0.500 0.750
Au2 Au 0.126 0.707 0.330

=====

[20]
# Ti2TcNi2 PBE-GGA optimized geometry
# Crystal system: tetragonal
# Energy above the most stable polymorph in this dataset (kJ/mol of atoms): 13.8
data_Ti2TcNi2
_symmetry_space_group_name_H-M 'P 4/m b m'
_symmetry_Int_Tables_number 127
_symmetry_space_group_name_Hall '-P 4 2ab'
_cell_length_a 6.853
_cell_length_b 6.853
_cell_length_c 2.967
_cell_angle_alpha 90.00
_cell_angle_beta 90.00
_cell_angle_gamma 90.00
loop_
_atom_site_label
_atom_site_type_symbol
_atom_site_fract_x
_atom_site_fract_y
_atom_site_fract_z
Ti1 Ti 0.161 0.339 0.000
Tc1 Tc 0.000 0.000 0.000
Ni1 Ni 0.135 0.635 0.500

=====

Across the entries above, energy takes the values -4.821, -2.656, -5.672, -7.730, -6.476, -3.391, -4.953, -6.085, -2.265, -5.484, -1.599, -5.010, -5.654, -2.115, -4.583, -2.946, -4.452, -5.956, -2.864, -7.724 eV/atom, respectively.